(1)
# RbLiTl2Cl

Crystalline RbLiTl2Cl at its relaxed geometry (PBE, Alexandria).

abc: 6.730 6.730 5.793
angles: 90.00 90.00 90.00
Element x y z (fractional)
Tl: 0.000 0.500 0.000
Tl: 0.500 0.000 0.000
Li: 0.500 0.500 0.500
Rb: 0.000 0.000 0.000
Cl: 0.000 0.000 0.500

Results
space-group type: P4/mmm (123)
ΔE_f (raw): 0.0761 eV/atom
N(E_F): 0.77 states/eV per atom

=====

(2)
# Rb2LiTmCl6

Crystalline Rb2LiTmCl6 at its relaxed geometry (PBE, Alexandria).

abc: 7.361 7.361 7.361
angles: 59.99 59.99 59.99
Element x y z (fractional)
Tm: 0.000 0.000 0.000
Li: 0.500 0.500 0.500
Rb: 0.750 0.750 0.750
Rb: 0.250 0.250 0.250
Cl: 0.750 0.750 0.250
Cl: 0.250 0.750 0.250
Cl: 0.750 0.250 0.250
Cl: 0.250 0.250 0.750
Cl: 0.750 0.250 0.750
Cl: 0.250 0.750 0.750

Results
space-group type: Fm-3m (225)
ΔE_f (raw): -2.1026 eV/atom
N(E_F): 0.00 states/eV per atom

=====

(3)
# Rb3Li2TmCl8

Crystalline Rb3Li2TmCl8 at its relaxed geometry (PBE, Alexandria).

abc: 7.319 7.319 9.409
angles: 90.00 90.00 120.00
Element x y z (fractional)
Rb: 0.333 0.667 0.645
Rb: 0.667 0.333 0.355
Rb: 0.000 0.000 0.000
Li: 0.333 0.667 0.206
Li: 0.667 0.333 0.794
Tm: 0.000 0.000 0.500
Cl: 0.333 0.667 0.971
Cl: 0.667 0.333 0.029
Cl: 0.165 0.835 0.337
Cl: 0.835 0.165 0.663
Cl: 0.165 0.331 0.337
Cl: 0.835 0.669 0.663
Cl: 0.669 0.835 0.337
Cl: 0.331 0.165 0.663

Results
space-group type: P-3m1 (164)
ΔE_f (raw): -1.9904 eV/atom
N(E_F): 0.00 states/eV per atom

=====

(4)
# RbLiU2Cl8

Crystalline RbLiU2Cl8 at its relaxed geometry (PBE, Alexandria).

abc: 6.940 6.940 8.511
angles: 90.00 90.00 120.00
Element x y z (fractional)
Rb: 0.000 0.000 0.500
Li: 0.000 0.000 0.000
U: 0.667 0.333 0.088
U: 0.333 0.667 0.912
Cl: 0.930 0.653 0.848
Cl: 0.347 0.277 0.848
Cl: 0.723 0.070 0.848
Cl: 0.070 0.347 0.152
Cl: 0.653 0.723 0.152
Cl: 0.277 0.930 0.152
Cl: 0.667 0.333 0.398
Cl: 0.333 0.667 0.602

Results
space-group type: P-3 (147)
ΔE_f (raw): -1.7096 eV/atom
N(E_F): 0.93 states/eV per atom

=====

(5)
# RbLi2UCl8

Crystalline RbLi2UCl8 at its relaxed geometry (PBE, Alexandria).

abc: 6.432 6.426 9.565
angles: 89.52 89.52 75.63
Element x y z (fractional)
Rb: 0.000 0.000 0.500
Li: 0.500 0.500 0.655
Li: 0.500 0.500 0.345
U: 0.000 0.000 0.000
Cl: 0.225 0.768 0.192
Cl: 0.754 0.758 0.000
Cl: 0.771 0.228 0.192
Cl: 0.775 0.232 0.808
Cl: 0.246 0.242 0.000
Cl: 0.229 0.772 0.808
Cl: 0.673 0.674 0.498
Cl: 0.327 0.326 0.502

Results
space-group type: P-1 (2)
ΔE_f (raw): -1.7192 eV/atom

=====

(6)
# RbLiUCl6

Crystalline RbLiUCl6 at its relaxed geometry (PBE, Alexandria).

abc: 6.842 6.842 14.784
angles: 90.00 90.00 120.00
Element x y z (fractional)
Rb: 0.000 0.000 0.000
Rb: 0.000 0.000 0.500
Li: 0.333 0.667 0.250
Li: 0.667 0.333 0.750
U: 0.667 0.333 0.250
U: 0.333 0.667 0.750
Cl: 0.629 0.628 0.148
Cl: 0.000 0.371 0.148
Cl: 0.371 0.000 0.648
Cl: 0.000 0.629 0.852
Cl: 0.372 0.371 0.352
Cl: 0.000 0.628 0.352
Cl: 0.628 0.000 0.852
Cl: 0.629 0.000 0.352
Cl: 0.000 0.372 0.648
Cl: 0.372 0.000 0.148
Cl: 0.628 0.629 0.648
Cl: 0.371 0.372 0.852

Results
space-group type: P-31c (163)
ΔE_f (raw): -1.8362 eV/atom
N(E_F): 0.57 states/eV per atom

=====

(7)
# Rb2LiUCl6

Crystalline Rb2LiUCl6 at its relaxed geometry (PBE, Alexandria).

abc: 7.480 7.480 13.573
angles: 74.00 74.00 60.00
Element x y z (fractional)
Rb: 0.864 0.864 0.407
Rb: 0.136 0.136 0.593
Rb: 0.704 0.704 0.887
Rb: 0.296 0.296 0.113
Li: 0.000 0.000 0.000
Li: 0.500 0.500 0.500
U: 0.587 0.587 0.240
U: 0.413 0.413 0.760
Cl: 0.865 0.378 0.378
Cl: 0.378 0.865 0.378
Cl: 0.378 0.378 0.378
Cl: 0.135 0.622 0.622
Cl: 0.622 0.135 0.622
Cl: 0.622 0.622 0.622
Cl: 0.714 0.201 0.883
Cl: 0.201 0.714 0.883
Cl: 0.201 0.201 0.883
Cl: 0.286 0.799 0.117
Cl: 0.799 0.286 0.117
Cl: 0.799 0.799 0.117

Results
space-group type: R-3m (166)
ΔE_f (raw): -1.8121 eV/atom
N(E_F): 0.09 states/eV per atom

=====

(8)
# RbLi2UCl6

Crystalline RbLi2UCl6 at its relaxed geometry (PBE, Alexandria).

abc: 8.162 9.470 9.470
angles: 84.84 72.46 72.46
Element x y z (fractional)
Rb: 0.250 0.907 0.093
Rb: 0.750 0.093 0.907
Li: 0.366 0.769 0.630
Li: 0.134 0.370 0.231
Li: 0.634 0.231 0.370
Li: 0.866 0.630 0.769
U: 0.250 0.284 0.716
U: 0.750 0.716 0.284
Cl: 0.203 0.000 0.760
Cl: 0.297 0.240 0.000
Cl: 0.797 0.000 0.240
Cl: 0.703 0.760 0.000
Cl: 0.384 0.802 0.379
Cl: 0.116 0.621 0.198
Cl: 0.616 0.198 0.621
Cl: 0.884 0.379 0.802
Cl: 0.191 0.591 0.721
Cl: 0.309 0.279 0.409
Cl: 0.809 0.409 0.279
Cl: 0.691 0.721 0.591

Results
space-group type: C2/c (15)
ΔE_f (raw): -1.7741 eV/atom